YCd2Se: relaxed, GGA-PBE.

Uncorrected energy: -3.54 eV per atom
Energy relative to the elements, uncorrected: -2.37 eV/f.u.

Unit cell a=8.689 b=8.689 c=8.689 alpha=26.33 beta=26.33 gamma=26.33
Atoms (fractional coordinates):
Y 0.759 0.759 0.759
Se 0.489 0.489 0.489
Cd 0.998 0.998 0.998
Cd 0.254 0.254 0.254

La2Tb9Y3: relaxed, GGA-PBE.

Formation enthalpy at 0 K: 0.1774 eV/atom
Uncorrected energy: -4.89 eV per atom

Unit cell a=5.658 b=12.857 c=12.857 alpha=47.17 beta=48.74 gamma=48.74
Atoms (fractional coordinates):
La 0.485 0.203 0.807
La 0.485 0.807 0.203
Tb 0.696 0.765 0.437
Tb 0.123 0.125 0.460
Tb 0.256 0.415 0.415
Tb 0.317 0.722 0.067
Tb 0.896 0.539 0.863
Tb 0.123 0.460 0.125
Tb 0.696 0.437 0.765
Tb 0.896 0.863 0.539
Tb 0.317 0.067 0.722
Y 0.880 0.207 0.207
Y 0.744 0.085 0.085
Y 0.085 0.805 0.805

Mn8TcRu3: relaxed, GGA-PBE.

Formation enthalpy at 0 K: -0.0055 eV/atom
Uncorrected energy: -9.30 eV per atom

Unit cell a=4.665 b=4.665 c=7.594 alpha=90.00 beta=90.00 gamma=120.00
Atoms (fractional coordinates):
Ru 0.667 0.333 0.431
Ru 0.667 0.333 0.068
Ru 0.000 0.000 0.931
Tc 0.000 0.000 0.567
Mn 0.159 0.318 0.250
Mn 0.508 0.015 0.751
Mn 0.333 0.667 0.500
Mn 0.508 0.492 0.751
Mn 0.159 0.841 0.250
Mn 0.985 0.492 0.751
Mn 0.333 0.667 0.999
Mn 0.682 0.841 0.250

Li2GeSbCl: relaxed, GGA-PBE.

Uncorrected energy: -3.36 eV per atom
Energy relative to the elements, uncorrected: -2.39 eV/f.u.

Unit cell a=4.508 b=5.398 c=4.508 alpha=90.00 beta=90.00 gamma=90.00
Atoms (fractional coordinates):
Li 0.500 0.000 0.000
Li 0.000 0.000 0.500
Sb 0.500 0.500 0.500
Ge 0.000 0.500 0.000
Cl 0.000 0.000 0.000

CrHgIr: relaxed, GGA-PBE.

Distance to the lowest polymorph of the same formula: 0.0000 eV/atom
Formation enthalpy at 0 K: 0.2369 eV/atom
Uncorrected energy: -6.03 eV per atom

Unit cell a=6.263 b=6.263 c=6.263 alpha=153.89 beta=153.89 gamma=37.26
Atoms (fractional coordinates):
Ir 0.644 0.644 0.000
Cr 0.018 0.018 0.000
Hg 0.338 0.338 0.000

Mg3MnI: relaxed, GGA-PBE.

Distance to the lowest polymorph of the same formula: 0.0000 eV/atom
Uncorrected energy: -2.32 eV per atom
Energy relative to the elements, uncorrected: 3.89 eV/f.u.

Unit cell a=5.162 b=5.162 c=5.162 alpha=90.00 beta=90.00 gamma=90.00
Atoms (fractional coordinates):
Mg 0.000 0.500 0.000
Mg 0.000 0.000 0.500
Mg 0.500 0.000 0.000
Mn 0.000 0.000 0.000
I 0.500 0.500 0.500

Number 1: density of states at the Fermi level 1.6 states/eV/f.u.. Number 2: density of states at the Fermi level 24.7 states/eV/f.u.. Number 3: density of states at the Fermi level 15.2 states/eV/f.u.. Number 4: density of states at the Fermi level 0.3 states/eV/f.u.. Number 5: density of states at the Fermi level 3.4 states/eV/f.u.. Number 6: density of states at the Fermi level 17.3 states/eV/f.u..